The following is a DFT calculation (PBE-GGA) of a relaxed Ba2CdCuO4 crystal.

Computed properties:
Space group = I-4
Raw formation energy = -1.568 eV per atom

a = 6.220 Å, b = 6.220 Å, c = 7.065 Å
α = 90.00°, β = 90.00°, γ = 90.00°
Fractional coordinates of all 16 atoms:
1 Ba 0.000 0.000 0.000
2 Ba 0.000 0.500 0.250
3 Ba 0.500 0.000 0.750
4 Ba 0.500 0.500 0.500
5 Cd 0.000 0.500 0.750
6 Cd 0.500 0.000 0.250
7 Cu 0.000 0.000 0.500
8 Cu 0.500 0.500 0.000
9 O 0.179 0.246 0.587
10 O 0.246 0.821 0.413
11 O 0.254 0.679 0.913
12 O 0.321 0.254 0.087
13 O 0.679 0.746 0.087
14 O 0.746 0.321 0.913
15 O 0.754 0.179 0.413
16 O 0.821 0.754 0.587

---

The following is a DFT calculation (PBE-GGA) of a relaxed BaCdCuP crystal.

Computed properties:
Space group = P4/nmm
D(E_F) = 1.99 states/eV/f.u.
Total DFT energy (no corrections) = -3.556 eV/atom

a = 4.119 Å, b = 4.119 Å, c = 12.301 Å
α = 90.00°, β = 90.00°, γ = 90.00°
Fractional coordinates of all 8 atoms:
1 Ba 0.250 0.250 0.216
2 Ba 0.750 0.750 0.784
3 Cd 0.250 0.750 0.500
4 Cd 0.750 0.250 0.500
5 Cu 0.250 0.750 0.000
6 Cu 0.750 0.250 0.000
7 P 0.250 0.250 0.897
8 P 0.750 0.750 0.103

---

The following is a DFT calculation (PBE-GGA) of a relaxed BaCdCu4P2 crystal.

Computed properties:
Space group = P4/mmm
D(E_F) = 2.57 states/eV/f.u.
Total DFT energy (no corrections) = -4.019 eV/atom

a = 4.086 Å, b = 4.086 Å, c = 9.425 Å
α = 90.00°, β = 90.00°, γ = 90.00°
Fractional coordinates of all 8 atoms:
1 Ba 0.000 0.000 0.000
2 Cd 0.000 0.000 0.500
3 Cu 0.000 0.500 0.304
4 Cu 0.000 0.500 0.696
5 Cu 0.500 0.000 0.304
6 Cu 0.500 0.000 0.696
7 P 0.500 0.500 0.201
8 P 0.500 0.500 0.799

---

The following is a DFT calculation (PBE-GGA) of a relaxed BaCdCuPb2 crystal.

Computed properties:
Space group = P4/mmm
D(E_F) = 3.49 states/eV/f.u.
Total DFT energy (no corrections) = -2.972 eV/atom

a = 5.460 Å, b = 5.460 Å, c = 5.148 Å
α = 90.00°, β = 90.00°, γ = 90.00°
Fractional coordinates of all 5 atoms:
1 Ba 0.000 0.000 0.000
2 Cd 0.500 0.500 0.000
3 Cu 0.500 0.500 0.500
4 Pb 0.000 0.500 0.500
5 Pb 0.500 0.000 0.500